Crystalline PmMgZnPd at its relaxed geometry. Source: Alexandria, functional PBE.

The formation energy from the elements comes out at -0.508 eV/atom. Its symmetry is No. 216. For the final energy, the calculation gives -14.8 eV for the cell shown.

Cell: 4.8873 4.8873 4.8873 Å, 60.00 60.00 60.00°
Atoms (fractional coordinates):
Pm  0.0000  0.0000  0.0000
Mg  0.5000  0.5000  0.5000
Zn  0.7500  0.7500  0.7500
Pd  0.2500  0.2500  0.2500